A relaxed structure of LaZn2Cd2Au, computed with GGA-PBE.

Results
ΔH_f (0 K) = -0.034 eV/atom
spin magnetization = 0.0 μB per formula unit

Cell lengths 5.144, 5.144, 6.764 Å; angles 112.35, 112.35, 90.00 degrees
Fractional coordinates of all 6 atoms:
Cd 0.750 0.250 0.500
Cd 0.250 0.750 0.500
Au 0.000 0.000 0.000
Zn 0.782 0.782 0.564
Zn 0.218 0.218 0.436
La 0.500 0.500 0.000